Pm2Nd3Sm6Pb | GGA-PBE | optimized geometry

Values from the calculation:
As for the energy relative to the elements: -0.7 eV per formula unit. For the total energy, the calculation gives -4.71 eV per atom. The density of states at the Fermi level comes out at 14.51 states/eV per cell. Its density is 7.63 Mg/m³.

abc: 6.253 6.253 11.977
angles: 95.05 95.05 120.09
Atoms (fractional coordinates):
Pm  0.166  0.834  0.000
Pm  0.834  0.166  0.000
Nd  0.000  0.000  0.500
Nd  0.331  0.669  0.500
Nd  0.669  0.331  0.500
Sm  0.093  0.418  0.754
Sm  0.257  0.257  0.248
Sm  0.418  0.093  0.754
Sm  0.582  0.907  0.246
Sm  0.743  0.743  0.752
Sm  0.907  0.582  0.246
Pb  0.500  0.500  0.000

Ac2GaCo2 | GGA-PBE | optimized geometry

Values from the calculation:
As for the energy relative to the elements: -0.9 eV per formula unit. For the total energy, the calculation gives -5.28 eV per atom. Its energy above the most stable polymorph in this dataset is 0.0 meV/atom. The density of states at the Fermi level comes out at 5.97 states/eV per cell. Its density is 7.92 Mg/m³.

abc: 9.335 9.335 9.335
angles: 25.68 25.68 25.68
Atoms (fractional coordinates):
Ac  0.078  0.078  0.078
Ac  0.922  0.922  0.922
Ga  0.500  0.500  0.500
Co  0.187  0.187  0.187
Co  0.813  0.813  0.813

RbTl4Pd | GGA-PBE | optimized geometry

Values from the calculation:
As for the energy relative to the elements: 0.2 eV per formula unit. For the total energy, the calculation gives -2.58 eV per atom. Its energy above the most stable polymorph in this dataset is 148.8 meV/atom. The density of states at the Fermi level comes out at 4.53 states/eV per cell. Its density is 6.79 Mg/m³.

abc: 5.386 5.386 8.514
angles: 90.00 90.00 90.00
Atoms (fractional coordinates):
Rb  0.000  0.000  0.000
Tl  0.000  0.500  0.500
Tl  0.500  0.000  0.500
Tl  0.500  0.500  0.178
Tl  0.500  0.500  0.822
Pd  0.500  0.500  0.500

ScBeN2O | GGA-PBE | optimized geometry

Values from the calculation:
The value obtained for the uncorrected formation energy is 0.65 eV per atom. For the total energy, the calculation gives -5.68 eV per atom. The density of states at the Fermi level comes out at 2.59 states/eV per cell. Its density is 2.34 Mg/m³.

abc: 4.199 4.199 3.951
angles: 90.00 90.00 90.00
Atoms (fractional coordinates):
Sc  0.000  0.000  0.000
Be  0.500  0.500  0.500
N  0.000  0.500  0.000
N  0.500  0.000  0.000
O  0.000  0.000  0.500

BeCo3I | GGA-PBE | optimized geometry

Values from the calculation:
The value obtained for the uncorrected formation energy is 1.71 eV per atom. For the total energy, the calculation gives -3.61 eV per atom. Its energy above the most stable polymorph in this dataset is 969.3 meV/atom. The density of states at the Fermi level comes out at 6.86 states/eV per cell. Its density is 5.50 Mg/m³.

abc: 4.554 4.554 4.554
angles: 90.00 90.00 90.00
Atoms (fractional coordinates):
Be  0.000  0.000  0.000
Co  0.000  0.500  0.500
Co  0.500  0.000  0.500
Co  0.500  0.500  0.000
I  0.500  0.500  0.500

ZrTl3Se | GGA-PBE | optimized geometry

Values from the calculation:
The value obtained for the uncorrected formation energy is 0.61 eV per atom. For the total energy, the calculation gives -3.21 eV per atom. Its energy above the most stable polymorph in this dataset is 0.0 meV/atom. The density of states at the Fermi level comes out at 6.06 states/eV per cell. Its density is 6.92 Mg/m³.

abc: 5.727 5.727 5.727
angles: 90.00 90.00 90.00
Atoms (fractional coordinates):
Zr  0.000  0.000  0.000
Tl  0.000  0.000  0.500
Tl  0.000  0.500  0.000
Tl  0.500  0.000  0.000
Se  0.500  0.500  0.500